# 1
# PBE YTl2P, relaxed
# total magnetic moment: 0.1458 μB per atom
# E_form: 96.9 meV per atom
# energy: -4.055 eV/atom
data_YTl2P
_space_group_name_H-M_alt 'R -3 m'
_space_group_IT_number 166
_space_group_name_Hall '-R 3 2"'
_cell_length_a 3.8573
_cell_length_b 3.8573
_cell_length_c 24.7451
_cell_angle_alpha 90.00
_cell_angle_beta 90.00
_cell_angle_gamma 120.00
loop_
_atom_site_label
_atom_site_type_symbol
_atom_site_fract_x
_atom_site_fract_y
_atom_site_fract_z
_atom_site_occupancy
Y1 Y 0.0000 0.0000 0.0000 1
Tl1 Tl 0.0000 0.0000 0.2357 1
P1 P 0.0000 0.0000 0.5000 1


# 2
# PBE Ca2Tl3In, relaxed
# total magnetic moment: 0.0000 μB per atom
# E_form: -301.2 meV per atom
# energy: -2.608 eV/atom
data_Ca2Tl3In
_space_group_name_H-M_alt 'P 1 21/m 1'
_space_group_IT_number 11
_cell_length_a 6.7525
_cell_length_b 5.1066
_cell_length_c 10.0018
_cell_angle_alpha 90.00
_cell_angle_beta 93.20
_cell_angle_gamma 90.00
loop_
_space_group_symop_operation_xyz
'x,y,z'
'-x,-y,-z'
'-x,y+1/2,-z'
'x,-y+1/2,z'
loop_
_atom_site_label
_atom_site_type_symbol
_atom_site_fract_x
_atom_site_fract_y
_atom_site_fract_z
_atom_site_occupancy
Ca1 Ca 0.1607 0.2500 0.4122 1
Ca2 Ca 0.3299 0.7500 0.9068 1
Tl1 Tl 0.0563 0.2500 0.7587 1
Tl2 Tl 0.1703 0.2500 0.0855 1
Tl3 Tl 0.3455 0.7500 0.5771 1
In1 In 0.4415 0.7500 0.2594 1


# 3
# PBE CaBH4, relaxed
# total magnetic moment: 0.0000 μB per atom
# energy: -3.971 eV/atom
data_CaBH4
_space_group_name_H-M_alt 'P 1 21/c 1'
_space_group_IT_number 14
_cell_length_a 5.7991
_cell_length_b 5.8617
_cell_length_c 8.2390
_cell_angle_alpha 90.00
_cell_angle_beta 134.68
_cell_angle_gamma 90.00
loop_
_space_group_symop_operation_xyz
'x,y,z'
'-x,-y,-z'
'-x,y+1/2,-z+1/2'
'x,-y+1/2,z+1/2'
loop_
_atom_site_label
_atom_site_type_symbol
_atom_site_fract_x
_atom_site_fract_y
_atom_site_fract_z
_atom_site_occupancy
Ca1 Ca 0.2505 0.2501 0.0001 1
B1 B 0.2494 0.7501 0.9998 1
H1 H 0.0009 0.6272 0.3770 1
H2 H 0.2466 0.6273 0.1228 1
H3 H 0.2523 0.6273 0.8769 1
H4 H 0.4978 0.6271 0.6226 1


# 4
# PBE Dy2HfBi2N2, relaxed
# E_form (uncorrected): -1038 meV per atom
# total magnetic moment: 0.0000 μB per atom
# energy: -7.263 eV/atom
data_Dy2HfBi2N2
_space_group_name_H-M_alt 'I 4/m m m'
_space_group_IT_number 139
_space_group_name_Hall '-I 4 2'
_cell_length_a 4.2088
_cell_length_b 4.2088
_cell_length_c 16.7534
_cell_angle_alpha 90.00
_cell_angle_beta 90.00
_cell_angle_gamma 90.00
loop_
_atom_site_label
_atom_site_type_symbol
_atom_site_fract_x
_atom_site_fract_y
_atom_site_fract_z
_atom_site_occupancy
Dy1 Dy 0.0000 0.0000 0.0938 1
Hf1 Hf 0.0000 0.0000 0.5000 1
Bi1 Bi 0.0000 0.0000 0.3103 1
N1 N 0.0000 0.5000 0.0000 1


# 5
# PBE Ac6Ir2OsBr2, relaxed
# E_form (uncorrected): -836 meV per atom
# total magnetic moment: 0.0196 μB per atom
# energy: -6.014 eV/atom
data_Ac6Ir2OsBr2
_space_group_name_H-M_alt 'C 1 2/m 1'
_space_group_IT_number 12
_cell_length_a 7.5740
_cell_length_b 13.1562
_cell_length_c 8.4909
_cell_angle_alpha 90.00
_cell_angle_beta 107.22
_cell_angle_gamma 90.00
loop_
_space_group_symop_operation_xyz
'x,y,z'
'-x,-y,-z'
'-x,y,-z'
'x,-y,z'
'x+1/2,y+1/2,z'
'-x+1/2,-y+1/2,-z'
'-x+1/2,y+1/2,-z'
'x+1/2,-y+1/2,z'
loop_
_atom_site_label
_atom_site_type_symbol
_atom_site_fract_x
_atom_site_fract_y
_atom_site_fract_z
_atom_site_occupancy
Ac1 Ac 0.2287 0.1654 0.1940 1
Ac2 Ac 0.2362 0.5000 0.1936 1
Ir1 Ir 0.0000 0.3312 0.0000 1
Os1 Os 0.0000 0.0000 0.0000 1
Br1 Br 0.0000 0.1646 0.5000 1


# 6
# PBE Zr2Al2Ni, relaxed
# total magnetic moment: 0.0004 μB per atom
# E_form: 96.2 meV per atom
# energy: -5.976 eV/atom
data_Zr2Al2Ni
_space_group_name_H-M_alt 'I 4/m m m'
_space_group_IT_number 139
_space_group_name_Hall '-I 4 2'
_cell_length_a 3.5015
_cell_length_b 3.5015
_cell_length_c 15.6817
_cell_angle_alpha 90.00
_cell_angle_beta 90.00
_cell_angle_gamma 90.00
loop_
_atom_site_label
_atom_site_type_symbol
_atom_site_fract_x
_atom_site_fract_y
_atom_site_fract_z
_atom_site_occupancy
Zr1 Zr 0.0000 0.0000 0.0957 1
Al1 Al 0.0000 0.5000 0.2500 1
Ni1 Ni 0.0000 0.0000 0.5000 1


# 7
# PBE MnNi2P, relaxed
# total magnetic moment: 0.7804 μB per atom
# E_form: -251.9 meV per atom
# energy: -6.787 eV/atom
data_MnNi2P
_space_group_name_H-M_alt 'I m m 2'
_space_group_IT_number 44
_cell_length_a 3.1979
_cell_length_b 3.9080
_cell_length_c 7.2989
_cell_angle_alpha 90.00
_cell_angle_beta 90.00
_cell_angle_gamma 90.00
loop_
_space_group_symop_operation_xyz
'x,y,z'
'-x,-y,z'
'-x,y,z'
'x,-y,z'
'x+1/2,y+1/2,z+1/2'
'-x+1/2,-y+1/2,z+1/2'
'-x+1/2,y+1/2,z+1/2'
'x+1/2,-y+1/2,z+1/2'
loop_
_atom_site_label
_atom_site_type_symbol
_atom_site_fract_x
_atom_site_fract_y
_atom_site_fract_z
_atom_site_occupancy
Mn1 Mn 0.0000 0.0000 0.0000 1
Ni1 Ni 0.0000 0.0000 0.4410 1
Ni2 Ni 0.0000 0.5000 0.2194 1
P1 P 0.0000 0.5000 0.7334 1


# 8
# PBE NaLi2NbS4, relaxed
# E_form (uncorrected): -1034 meV per atom
# total magnetic moment: 0.0000 μB per atom
# energy: -4.999 eV/atom
data_NaLi2NbS4
_space_group_name_H-M_alt 'I m m a'
_space_group_IT_number 74
_space_group_name_Hall '-I 2b 2'
_cell_length_a 7.1204
_cell_length_b 7.7649
_cell_length_c 10.5492
_cell_angle_alpha 90.00
_cell_angle_beta 90.00
_cell_angle_gamma 90.00
loop_
_atom_site_label
_atom_site_type_symbol
_atom_site_fract_x
_atom_site_fract_y
_atom_site_fract_z
_atom_site_occupancy
Na1 Na 0.0000 0.0000 0.0000 1
Li1 Li 0.0000 0.0000 0.5000 1
Li2 Li 0.2500 0.2500 0.2500 1
Nb1 Nb 0.2500 0.2500 0.7500 1
S1 S 0.0000 0.0191 0.7457 1
S2 S 0.2318 0.2500 0.5186 1


# 9
# PBE Ca2HPb, relaxed
# total magnetic moment: 0.0000 μB per atom
# energy: -2.955 eV/atom
data_Ca2HPb
_space_group_name_H-M_alt 'P 4/m m m'
_space_group_IT_number 123
_space_group_name_Hall '-P 4 2'
_cell_length_a 3.5404
_cell_length_b 3.5404
_cell_length_c 7.8002
_cell_angle_alpha 90.00
_cell_angle_beta 90.00
_cell_angle_gamma 90.00
loop_
_atom_site_label
_atom_site_type_symbol
_atom_site_fract_x
_atom_site_fract_y
_atom_site_fract_z
_atom_site_occupancy
Ca1 Ca 0.0000 0.0000 0.2190 1
H1 H 0.5000 0.5000 0.0000 1
Pb1 Pb 0.5000 0.5000 0.5000 1


# 10
# PBE Tb2Al2Au, relaxed
# total magnetic moment: 0.0000 μB per atom
# E_form: -624.1 meV per atom
# energy: -4.629 eV/atom
data_Tb2Al2Au
_space_group_name_H-M_alt 'C 1 2/m 1'
_space_group_IT_number 12
_cell_length_a 10.7750
_cell_length_b 4.4986
_cell_length_c 10.7130
_cell_angle_alpha 90.00
_cell_angle_beta 117.65
_cell_angle_gamma 90.00
loop_
_space_group_symop_operation_xyz
'x,y,z'
'-x,-y,-z'
'-x,y,-z'
'x,-y,z'
'x+1/2,y+1/2,z'
'-x+1/2,-y+1/2,-z'
'-x+1/2,y+1/2,-z'
'x+1/2,-y+1/2,z'
loop_
_atom_site_label
_atom_site_type_symbol
_atom_site_fract_x
_atom_site_fract_y
_atom_site_fract_z
_atom_site_occupancy
Tb1 Tb 0.0059 0.0000 0.3265 1
Tb2 Tb 0.1846 0.0000 0.1080 1
Al1 Al 0.0211 0.5000 0.8866 1
Al2 Al 0.1430 0.5000 0.5555 1
Au1 Au 0.2258 0.5000 0.3421 1


# 11
# PBE LaTb2Sm6Tm3, relaxed
# total magnetic moment: 0.0000 μB per atom
# E_form: 21.2 meV per atom
# energy: -4.639 eV/atom
data_LaTb2Sm6Tm3
_space_group_name_H-M_alt 'C 1 2/m 1'
_space_group_IT_number 12
_cell_length_a 6.2310
_cell_length_b 10.7913
_cell_length_c 11.8750
_cell_angle_alpha 90.00
_cell_angle_beta 100.06
_cell_angle_gamma 90.00
loop_
_space_group_symop_operation_xyz
'x,y,z'
'-x,-y,-z'
'-x,y,-z'
'x,-y,z'
'x+1/2,y+1/2,z'
'-x+1/2,-y+1/2,-z'
'-x+1/2,y+1/2,-z'
'x+1/2,-y+1/2,z'
loop_
_atom_site_label
_atom_site_type_symbol
_atom_site_fract_x
_atom_site_fract_y
_atom_site_fract_z
_atom_site_occupancy
La1 La 0.0000 0.0000 0.0000 1
Tb1 Tb 0.0000 0.3335 0.0000 1
Sm1 Sm 0.2477 0.3328 0.7458 1
Sm2 Sm 0.2493 0.0000 0.7455 1
Tm1 Tm 0.0000 0.1671 0.5000 1
Tm2 Tm 0.0000 0.5000 0.5000 1


# 12
# PBE KPm2CuO5, relaxed
# E_form (uncorrected): -2206 meV per atom
# total magnetic moment: 0.2255 μB per atom
# energy: -6.593 eV/atom
data_KPm2CuO5
_space_group_name_H-M_alt 'I 4/m c m'
_space_group_IT_number 140
_space_group_name_Hall '-I 4 2c'
_cell_length_a 6.7415
_cell_length_b 6.7415
_cell_length_c 11.5143
_cell_angle_alpha 90.00
_cell_angle_beta 90.00
_cell_angle_gamma 90.00
loop_
_atom_site_label
_atom_site_type_symbol
_atom_site_fract_x
_atom_site_fract_y
_atom_site_fract_z
_atom_site_occupancy
K1 K 0.0000 0.0000 0.2500 1
Pm1 Pm 0.1756 0.3244 0.0000 1
Cu1 Cu 0.0000 0.5000 0.2500 1
O1 O 0.0000 0.0000 0.0000 1
O2 O 0.1324 0.3676 0.3735 1


# 13
# PBE Rb2BaOsO6, relaxed
# E_form (uncorrected): -1617 meV per atom
# total magnetic moment: 0.0000 μB per atom
# energy: -6.101 eV/atom
data_Rb2BaOsO6
_space_group_name_H-M_alt 'R -3'
_space_group_IT_number 148
_space_group_name_Hall '-R 3'
_cell_length_a 6.3963
_cell_length_b 6.3963
_cell_length_c 15.5739
_cell_angle_alpha 90.00
_cell_angle_beta 90.00
_cell_angle_gamma 120.00
loop_
_atom_site_label
_atom_site_type_symbol
_atom_site_fract_x
_atom_site_fract_y
_atom_site_fract_z
_atom_site_occupancy
Rb1 Rb 0.0000 0.0000 0.2493 1
Ba1 Ba 0.0000 0.0000 0.5000 1
Os1 Os 0.0000 0.0000 0.0000 1
O1 O 0.0578 0.5517 0.7363 1


# 14
# PBE LiBiPdRu2, relaxed
# total magnetic moment: 0.0000 μB per atom
# E_form: 712.8 meV per atom
# energy: -5.195 eV/atom
data_LiBiPdRu2
_space_group_name_H-M_alt 'P 4/m m m'
_space_group_IT_number 123
_space_group_name_Hall '-P 4 2'
_cell_length_a 4.3624
_cell_length_b 4.3624
_cell_length_c 4.1795
_cell_angle_alpha 90.00
_cell_angle_beta 90.00
_cell_angle_gamma 90.00
loop_
_atom_site_label
_atom_site_type_symbol
_atom_site_fract_x
_atom_site_fract_y
_atom_site_fract_z
_atom_site_occupancy
Li1 Li 0.0000 0.0000 0.0000 1
Bi1 Bi 0.5000 0.5000 0.5000 1
Pd1 Pd 0.0000 0.0000 0.5000 1
Ru1 Ru 0.0000 0.5000 0.0000 1


# 15
# PBE CePb2Se2O2, relaxed
# E_form (uncorrected): -1596 meV per atom
# total magnetic moment: 0.0000 μB per atom
# energy: -5.916 eV/atom
data_CePb2Se2O2
_space_group_name_H-M_alt 'I 4/m m m'
_space_group_IT_number 139
_space_group_name_Hall '-I 4 2'
_cell_length_a 4.3682
_cell_length_b 4.3682
_cell_length_c 17.0342
_cell_angle_alpha 90.00
_cell_angle_beta 90.00
_cell_angle_gamma 90.00
loop_
_atom_site_label
_atom_site_type_symbol
_atom_site_fract_x
_atom_site_fract_y
_atom_site_fract_z
_atom_site_occupancy
Ce1 Ce 0.0000 0.0000 0.0000 1
Pb1 Pb 0.0000 0.0000 0.3530 1
Se1 Se 0.0000 0.0000 0.1774 1
O1 O 0.0000 0.5000 0.0000 1


# 16
# PBE UTlPd2Se4, relaxed
# E_form (uncorrected): -435 meV per atom
# total magnetic moment: 0.2217 μB per atom
# energy: -5.182 eV/atom
data_UTlPd2Se4
_space_group_name_H-M_alt 'I 2 2 2'
_space_group_IT_number 23
_cell_length_a 6.9672
_cell_length_b 7.1804
_cell_length_c 7.2228
_cell_angle_alpha 90.00
_cell_angle_beta 90.00
_cell_angle_gamma 90.00
loop_
_space_group_symop_operation_xyz
'x,y,z'
'-x,-y,z'
'x,-y,-z'
'-x,y,-z'
'x+1/2,y+1/2,z+1/2'
'-x+1/2,-y+1/2,z+1/2'
'x+1/2,-y+1/2,-z+1/2'
'-x+1/2,y+1/2,-z+1/2'
loop_
_atom_site_label
_atom_site_type_symbol
_atom_site_fract_x
_atom_site_fract_y
_atom_site_fract_z
_atom_site_occupancy
U1 U 0.0000 0.0000 0.0000 1
Tl1 Tl 0.0000 0.0000 0.5000 1
Pd1 Pd 0.0000 0.5000 0.2995 1
Se1 Se 0.2408 0.2475 0.7830 1


# 17
# PBE CeDy4In2, relaxed
# total magnetic moment: 0.1273 μB per atom
# E_form: -133.2 meV per atom
# energy: -4.393 eV/atom
data_CeDy4In2
_space_group_name_H-M_alt 'P 1 21/m 1'
_space_group_IT_number 11
_cell_length_a 8.2622
_cell_length_b 6.6314
_cell_length_c 8.4356
_cell_angle_alpha 90.00
_cell_angle_beta 117.51
_cell_angle_gamma 90.00
loop_
_space_group_symop_operation_xyz
'x,y,z'
'-x,-y,-z'
'-x,y+1/2,-z'
'x,-y+1/2,z'
loop_
_atom_site_label
_atom_site_type_symbol
_atom_site_fract_x
_atom_site_fract_y
_atom_site_fract_z
_atom_site_occupancy
Ce1 Ce 0.2437 0.2500 0.3222 1
Dy1 Dy 0.0336 0.7500 0.5237 1
Dy2 Dy 0.1068 0.2500 0.9029 1
Dy3 Dy 0.4253 0.0037 0.7651 1
In1 In 0.2019 0.7500 0.9612 1
In2 In 0.3313 0.7500 0.3896 1


# 18
# PBE Rb3Ge2Br8, relaxed
# E_form (uncorrected): -1056 meV per atom
# total magnetic moment: 0.0000 μB per atom
# energy: -3.019 eV/atom
data_Rb3Ge2Br8
_space_group_name_H-M_alt 'R -3 m'
_space_group_IT_number 166
_space_group_name_Hall '-R 3 2"'
_cell_length_a 8.0290
_cell_length_b 8.0290
_cell_length_c 28.8202
_cell_angle_alpha 90.00
_cell_angle_beta 90.00
_cell_angle_gamma 120.00
loop_
_atom_site_label
_atom_site_type_symbol
_atom_site_fract_x
_atom_site_fract_y
_atom_site_fract_z
_atom_site_occupancy
Rb1 Rb 0.0000 0.0000 0.0000 1
Rb2 Rb 0.0000 0.0000 0.2052 1
Ge1 Ge 0.0000 0.0000 0.4116 1
Br1 Br 0.0000 0.0000 0.3242 1
Br2 Br 0.0279 0.5139 0.7692 1


# 19
# PBE Ta2ReRu, relaxed
# total magnetic moment: 0.0000 μB per atom
# E_form: -109.0 meV per atom
# energy: -11.466 eV/atom
data_Ta2ReRu
_space_group_name_H-M_alt 'P m m m'
_space_group_IT_number 47
_cell_length_a 3.1945
_cell_length_b 4.3649
_cell_length_c 4.6599
_cell_angle_alpha 90.00
_cell_angle_beta 90.00
_cell_angle_gamma 90.00
loop_
_space_group_symop_operation_xyz
'x,y,z'
'-x,-y,-z'
'-x,-y,z'
'x,y,-z'
'x,-y,-z'
'-x,y,z'
'-x,y,-z'
'x,-y,z'
loop_
_atom_site_label
_atom_site_type_symbol
_atom_site_fract_x
_atom_site_fract_y
_atom_site_fract_z
_atom_site_occupancy
Ta1 Ta 0.0000 0.0000 0.0000 1
Ta2 Ta 0.5000 0.0000 0.5000 1
Re1 Re 0.0000 0.5000 0.5000 1
Ru1 Ru 0.5000 0.5000 0.0000 1


# 20
# PBE La3InO, relaxed
# E_form (uncorrected): -1300 meV per atom
# total magnetic moment: 0.0136 μB per atom
# energy: -5.796 eV/atom
data_La3InO
_space_group_name_H-M_alt 'P 1'
_space_group_IT_number 1
_cell_length_a 5.6763
_cell_length_b 7.1378
_cell_length_c 7.4650
_cell_angle_alpha 78.19
_cell_angle_beta 89.64
_cell_angle_gamma 89.45
loop_
_space_group_symop_operation_xyz
'x,y,z'
loop_
_atom_site_label
_atom_site_type_symbol
_atom_site_fract_x
_atom_site_fract_y
_atom_site_fract_z
_atom_site_occupancy
La1 La 0.0000 0.0000 0.0000 1
La2 La 0.0034 0.4480 0.3112 1
La3 La 0.4987 0.1748 0.2105 1
La4 La 0.5060 0.6989 0.8744 1
La5 La 0.5245 0.2488 0.6816 1
La6 La 0.9831 0.9004 0.5225 1
In1 In 0.0093 0.4647 0.8181 1
In2 In 0.4994 0.6984 0.3408 1
O1 O 0.0216 0.1416 0.2580 1
O2 O 0.7388 0.9618 0.7615 1